# LaY2ScTe PBE relaxed
data_LaY2ScTe
_chemical_formula_sum 'La1 Y2 Sc1 Te1'
_space_group_name_H-M_alt 'P 4/m m m'
_space_group_IT_number 123
_space_group_name_Hall '-P 4 2'
_cell_length_a 5.653
_cell_length_b 5.653
_cell_length_c 5.982
_cell_angle_alpha 90.00
_cell_angle_beta 90.00
_cell_angle_gamma 90.00
loop_
_atom_site_label
_atom_site_fract_x
_atom_site_fract_y
_atom_site_fract_z
_atom_site_occupancy
La1 0.000 0.000 0.000 1
Y1 0.000 0.500 0.500 1
Sc1 0.500 0.500 0.000 1
Te1 0.000 0.000 0.500 1
# Total moment in μB per formula unit: 0.0
# Raw formation energy in meV/atom: -7
# E_tot in eV/cell: -27.36